Entry 1:
The following is a PBE calculation of a geometry-optimized Co4Ni15Pd structure, from Alexandria.

Calculated values
- magnetic moment (μB per atom) = 0.848
- formation energy from the elements (eV/atom) = 0.0164
- electronic total energy (eV per formula unit) = -120.01
- volume (A^3/atom) = 11.1

a b c (Å): 3.555 3.555 17.635
angles (deg): 90.00 90.00 90.00
Atoms (fractional coordinates):
1 Co 0.000 0.000 0.098
2 Co 0.000 0.000 0.296
3 Co 0.000 0.000 0.704
4 Co 0.000 0.000 0.902
5 Ni 0.000 0.500 0.000
6 Ni 0.000 0.500 0.197
7 Ni 0.000 0.500 0.393
8 Ni 0.000 0.500 0.607
9 Ni 0.000 0.500 0.803
10 Ni 0.500 0.000 0.000
11 Ni 0.500 0.000 0.197
12 Ni 0.500 0.000 0.393
13 Ni 0.500 0.000 0.607
14 Ni 0.500 0.000 0.803
15 Ni 0.500 0.500 0.098
16 Ni 0.500 0.500 0.295
17 Ni 0.500 0.500 0.500
18 Ni 0.500 0.500 0.705
19 Ni 0.500 0.500 0.902
20 Pd 0.000 0.000 0.500

***

Entry 2:
The following is a PBE calculation of a geometry-optimized BaVSb3 structure, from Alexandria.

Calculated values
- formation energy from raw total energies (kJ per mole of atoms) = 140.12
- magnetic moment (μB per atom) = 0.639
- electronic total energy (eV per formula unit) = -16.15
- excess energy over the best structure of this formula in the dataset (meV/atom) = 1722.6
- volume (A^3/atom) = 46.0

a b c (Å): 6.126 6.126 6.126
angles (deg): 90.00 90.00 90.00
Atoms (fractional coordinates):
1 Ba 0.000 0.000 0.000
2 V 0.500 0.500 0.500
3 Sb 0.000 0.000 0.500
4 Sb 0.000 0.500 0.000
5 Sb 0.500 0.000 0.000

***

Entry 3:
The following is a PBE calculation of a geometry-optimized Li2TbY2Pb2 structure, from Alexandria.

Calculated values
- magnetic moment (μB per atom) = 0.000
- formation energy from the elements (eV/atom) = -0.3287
- electronic total energy (eV per formula unit) = -31.10
- volume (A^3/atom) = 26.0

a b c (Å): 9.397 9.397 9.397
angles (deg): 29.82 29.82 29.82
Atoms (fractional coordinates):
1 Li 0.097 0.097 0.097
2 Li 0.903 0.903 0.903
3 Tb 0.500 0.500 0.500
4 Y 0.371 0.371 0.371
5 Y 0.629 0.629 0.629
6 Pb 0.236 0.236 0.236
7 Pb 0.764 0.764 0.764

***

Entry 4:
The following is a PBE calculation of a geometry-optimized Rb2BaCu structure, from Alexandria.

Calculated values
- magnetic moment (μB per atom) = 0.000
- formation energy from the elements (eV/atom) = 0.3245
- electronic total energy (eV per formula unit) = -6.66
- volume (A^3/atom) = 60.3

a b c (Å): 9.186 9.186 9.186
angles (deg): 97.31 97.31 138.21
Atoms (fractional coordinates):
1 Rb 0.010 0.625 0.885
2 Rb 0.375 0.260 0.385
3 Rb 0.740 0.125 0.115
4 Rb 0.875 0.990 0.615
5 Ba 0.250 0.750 0.500
6 Ba 0.500 0.500 0.000
7 Cu 0.000 0.000 0.000
8 Cu 0.750 0.250 0.500

***

Entry 5:
The following is a PBE calculation of a geometry-optimized PrHoTm14 structure, from Alexandria.

Calculated values
- magnetic moment (μB per atom) = 0.000
- formation energy from the elements (eV/atom) = 0.0119
- electronic total energy (eV per formula unit) = -71.77
- volume (A^3/atom) = 30.4

a b c (Å): 11.318 7.045 7.045
angles (deg): 60.08 90.00 90.00
Atoms (fractional coordinates):
1 Pr 0.000 0.000 0.000
2 Ho 0.000 0.500 0.500
3 Tm 0.000 0.000 0.500
4 Tm 0.000 0.500 0.000
5 Tm 0.250 0.667 0.667
6 Tm 0.253 0.167 0.666
7 Tm 0.253 0.168 0.168
8 Tm 0.253 0.666 0.167
9 Tm 0.500 0.334 0.334
10 Tm 0.500 0.334 0.834
11 Tm 0.500 0.834 0.334
12 Tm 0.500 0.834 0.834
13 Tm 0.747 0.167 0.666
14 Tm 0.747 0.168 0.168
15 Tm 0.747 0.666 0.167
16 Tm 0.750 0.667 0.667

***

Entry 6:
The following is a PBE calculation of a geometry-optimized SrPmY2Se4 structure, from Alexandria.

Calculated values
- formation energy from raw total energies (kJ per mole of atoms) = -177.15
- magnetic moment (μB per atom) = 0.000
- electronic total energy (eV per formula unit) = -47.99
- volume (A^3/atom) = 26.0

a b c (Å): 7.268 4.161 7.273
angles (deg): 90.00 109.03 90.00
Atoms (fractional coordinates):
1 Sr 0.000 0.000 0.000
2 Pm 0.500 0.500 0.000
3 Y 0.000 0.500 0.500
4 Y 0.500 0.000 0.500
5 Se 0.249 0.000 0.738
6 Se 0.258 0.500 0.265
7 Se 0.742 0.500 0.735
8 Se 0.751 0.000 0.262

***

Entry 7:
The following is a PBE calculation of a geometry-optimized Ac2AlSi structure, from Alexandria.

Calculated values
- formation energy from raw total energies (kJ per mole of atoms) = -47.01
- magnetic moment (μB per atom) = 0.000
- electronic total energy (eV per formula unit) = -19.33
- volume (A^3/atom) = 30.3

a b c (Å): 6.454 4.225 9.356
angles (deg): 90.00 108.20 90.00
Atoms (fractional coordinates):
1 Ac 0.210 0.250 0.427
2 Ac 0.280 0.750 0.070
3 Ac 0.720 0.250 0.930
4 Ac 0.790 0.750 0.573
5 Al 0.344 0.750 0.721
6 Al 0.656 0.250 0.279
7 Si 0.153 0.250 0.785
8 Si 0.847 0.750 0.215

***

Entry 8:
The following is a PBE calculation of a geometry-optimized RbTl2Ag2Cl7 structure, from Alexandria.

Calculated values
- formation energy from raw total energies (kJ per mole of atoms) = -84.05
- magnetic moment (μB per atom) = 0.000
- electronic total energy (eV per formula unit) = -34.78
- volume (A^3/atom) = 28.8

a b c (Å): 5.179 5.179 13.369
angles (deg): 101.09 101.09 89.96
Atoms (fractional coordinates):
1 Rb 0.000 0.000 0.000
2 Tl 0.192 0.192 0.363
3 Tl 0.808 0.808 0.637
4 Ag 0.402 0.402 0.802
5 Ag 0.598 0.598 0.198
6 Cl 0.096 0.597 0.193
7 Cl 0.310 0.310 0.604
8 Cl 0.403 0.904 0.807
9 Cl 0.500 0.500 0.000
10 Cl 0.597 0.096 0.193
11 Cl 0.690 0.690 0.396
12 Cl 0.904 0.403 0.807